Record 1
## Co6Ni7Pt16 (PBE-GGA)

Data for Co6Ni7Pt16 after structural relaxation.

Space group: Fm-3m (225)

Cell lengths 8.465, 8.465, 8.465 Å; angles 60.00, 60.00, 60.00 degrees
Last column: magnetic moment on the atom in μB.
Atoms (fractional coordinates):
Co1 0.353 0.353 0.647  2.05
Co2 0.647 0.647 0.353  2.05
Pt1 0.345 0.964 0.345  0.32
Pt2 0.655 0.655 0.036  0.32
Pt3 0.881 0.881 0.358  0.25
Pt4 0.345 0.345 0.345  0.32
Ni1 0.500 0.000 0.500  0.73
Co3 0.647 0.353 0.647  2.05
Ni2 0.000 0.000 0.000  0.06
Pt5 0.655 0.036 0.655  0.32
Ni3 0.000 0.500 0.000  0.73
Pt6 0.642 0.119 0.119  0.25
Pt7 0.345 0.345 0.964  0.32
Pt8 0.358 0.881 0.881  0.25
Pt9 0.881 0.881 0.881  0.25
Pt10 0.119 0.642 0.119  0.25
Pt11 0.036 0.655 0.655  0.32
Ni4 0.500 0.000 0.000  0.73
Pt12 0.964 0.345 0.345  0.32
Pt13 0.119 0.119 0.642  0.25
Pt14 0.881 0.358 0.881  0.25
Ni5 0.500 0.500 0.000  0.73
Co4 0.353 0.647 0.353  2.05
Ni6 0.000 0.500 0.500  0.73
Co5 0.647 0.353 0.353  2.05
Co6 0.353 0.647 0.647  2.05
Pt15 0.119 0.119 0.119  0.25
Pt16 0.655 0.655 0.655  0.32
Ni7 0.000 0.000 0.500  0.73

Record 2
## Sc2TaBi2 (PBE-GGA)

Data for Sc2TaBi2 after structural relaxation.

Energy above the lowest structure with this stoichiometry (meV/atom): 0
Space group: P4/mbm (127)

Cell lengths 7.684, 7.684, 3.983 Å; angles 90.00, 90.00, 90.00 degrees
Atoms (fractional coordinates):
Ta1 0.500 0.500 0.000
Sc1 0.843 0.343 0.500
Bi1 0.352 0.852 0.000
Bi2 0.648 0.148 0.000
Bi3 0.852 0.648 0.000
Sc2 0.657 0.843 0.500
Bi4 0.148 0.352 0.000
Sc3 0.157 0.657 0.500
Ta2 0.000 0.000 0.000
Sc4 0.343 0.157 0.500

Record 3
## AcTb3Nd (PBE-GGA)

Data for AcTb3Nd after structural relaxation.

Energy above the lowest structure with this stoichiometry (meV/atom): 60
Space group: P-1 (2)

Cell lengths 4.970, 10.352, 8.682 Å; angles 59.27, 89.99, 103.86 degrees
Atoms (fractional coordinates):
Tb1 0.936 0.906 0.934
Nd1 0.835 0.702 0.697
Ac1 0.637 0.306 0.134
Tb2 0.108 0.248 0.488
Tb3 0.577 0.187 0.796
Ac2 0.407 0.848 0.288
Tb4 0.467 0.967 0.625
Nd2 0.209 0.452 0.725
Tb5 0.295 0.623 0.039
Tb6 0.749 0.531 0.382

Record 4
## Mg2ScIn (PBE-GGA)

Data for Mg2ScIn after structural relaxation.

Space group: P2/m (10)

Cell lengths 5.101, 3.234, 5.610 Å; angles 84.71, 90.00, 90.00 degrees
Atoms (fractional coordinates):
Sc1 0.500 0.250 0.250
Mg1 0.000 0.583 0.498
Mg2 0.000 0.917 0.002
In1 0.500 0.750 0.750

Record 5
## HoZn8Ir4 (PBE-GGA)

Data for HoZn8Ir4 after structural relaxation.

Space group: I4/mmm (139)

Cell lengths 5.621, 6.698, 6.698 Å; angles 79.86, 65.19, 65.19 degrees
Atoms (fractional coordinates):
Ir1 0.500 0.000 0.500
Ho1 0.000 0.000 0.000
Zn1 0.725 0.775 0.775
Zn2 0.665 0.335 0.335
Ir2 0.500 0.500 0.000
Zn3 0.000 0.665 0.335
Ir3 0.000 0.000 0.500
Zn4 0.335 0.665 0.665
Zn5 0.500 0.225 0.775
Zn6 0.500 0.775 0.225
Zn7 0.000 0.335 0.665
Ir4 0.000 0.500 0.000
Zn8 0.275 0.225 0.225

Record 6
## NiIr (PBE-GGA)

Data for NiIr after structural relaxation.

Space group: Cm (8)

Cell lengths 2.700, 4.948, 6.236 Å; angles 75.34, 90.00, 105.83 degrees
Last column: magnetic moment on the atom in μB.
Atoms (fractional coordinates):
Ni1 0.667 0.335 0.666  0.01
Ir1 0.387 0.774 0.722  0.02
Ni2 0.057 0.114 0.389  0.07
Ir2 0.333 0.666 0.333  0.02
Ni3 0.721 0.443 0.058  0.03
Ir3 0.001 0.002 0.998  0.01

Summary of total DFT energy (no corrections) in eV per atom
-6.0711; -6.5513; -4.4092; -3.1840; -4.1950; -7.2772
(order as listed above)
Summary of ΔH_f (0 K) in eV/atom
0.127; -0.096; 0.144; -0.119; -0.332; 0.044
(order as listed above)